# Mg2Bi2S

Mg2Bi2S after structural relaxation (PBE-GGA, the Alexandria database).

- Total magnetic moment: 0.000 μB per formula unit

a b c (Å): 6.647 6.647 5.902
angles (deg): 90.00 90.00 90.00
Sites, in units of the cell vectors:
Bi: 0.183 0.683 0.500
Bi: 0.317 0.183 0.500
Bi: 0.817 0.317 0.500
Bi: 0.683 0.817 0.500
S: 0.000 0.000 0.000
S: 0.500 0.500 0.000
Mg: 0.674 0.174 0.000
Mg: 0.174 0.326 0.000
Mg: 0.826 0.674 0.000
Mg: 0.326 0.826 0.000

***

# MgBi4S7

MgBi4S7 after structural relaxation (PBE-GGA, the Alexandria database).

- Total magnetic moment: 0.000 μB per formula unit

a b c (Å): 3.990 6.824 12.253
angles (deg): 104.37 90.00 107.00
Sites, in units of the cell vectors:
S: 0.272 0.544 0.644
S: 0.015 0.031 0.778
S: 0.959 0.919 0.218
S: 0.517 0.034 0.542
S: 0.342 0.683 0.954
S: 0.657 0.315 0.043
S: 0.761 0.521 0.385
Bi: 0.647 0.294 0.749
Bi: 0.997 0.994 0.008
Bi: 0.306 0.612 0.157
Bi: 0.140 0.280 0.440
Mg: 0.887 0.775 0.582

***

Formation energy (no corrections) (computed, kJ per mole of atoms): -21.9, -50.5